No. 1
Below is a relaxed BaPdSe crystal, with properties calculated at the GGA-PBE level.

raw formation energy	-1.1089	eV per atom
magnetization	0.0	μB per formula unit

a b c (Å): 11.320 4.318 7.044
angles (deg): 90.00 101.61 90.00
Space group Cm (No. 8)
Symmetry-distinct sites (fractional):
Ba 0.000 0.000 0.000 (multiplicity 2)
Ba 0.167 0.500 0.537 (multiplicity 2)
Pd 0.233 0.500 0.078 (multiplicity 2)
Pd 0.334 0.000 0.300 (multiplicity 2)
Se 0.267 0.000 0.890 (multiplicity 2)
Se 0.443 0.500 0.455 (multiplicity 2)



No. 2
Below is a relaxed BaPdSe2 crystal, with properties calculated at the GGA-PBE level.

raw formation energy	-0.7828	eV per atom
magnetization	0.0	μB per formula unit

a b c (Å): 5.7964 5.7964 11.2682
angles (deg): 90.00 90.00 120.00
Space group R-3m (No. 166, hexagonal axes)
Symmetry-distinct sites (fractional):
Ba 0.0000 0.0000 0.0000 (multiplicity 3)
Pd 0.0000 0.0000 0.5000 (multiplicity 3)
Se 0.0000 0.0000 0.2849 (multiplicity 6)



No. 3
Below is a relaxed BaSm2PdSe4 crystal, with properties calculated at the GGA-PBE level.

raw formation energy	-1.7192	eV per atom
magnetization	0.0	μB per formula unit

a b c (Å): 4.240 14.191 14.585
angles (deg): 90.00 90.00 90.00
Space group Cmcm (No. 63)
Symmetry-distinct sites (fractional):
Ba 0.000 0.118 0.250 (multiplicity 4)
Sm 0.000 0.367 0.072 (multiplicity 8)
Pd 0.000 0.155 0.750 (multiplicity 4)
Se 0.000 0.000 0.000 (multiplicity 4)
Se 0.000 0.270 0.611 (multiplicity 8)
Se 0.000 0.451 0.250 (multiplicity 4)



No. 4
Below is a relaxed BaSn2PdSe crystal, with properties calculated at the GGA-PBE level.

raw formation energy	-0.4490	eV per atom
magnetization	0.0	μB per formula unit

a b c (Å): 5.150 5.150 5.729
angles (deg): 90.00 90.00 90.00
Space group P4/mmm (No. 123)
Symmetry-distinct sites (fractional):
Ba 0.000 0.000 0.000 (multiplicity 1)
Sn 0.000 0.500 0.500 (multiplicity 2)
Pd 0.500 0.500 0.500 (multiplicity 1)
Se 0.500 0.500 0.000 (multiplicity 1)



No. 5
Below is a relaxed BaTa3Pd4Se12 crystal, with properties calculated at the GGA-PBE level.

raw formation energy	-0.4331	eV per atom
magnetization	0.0	μB per formula unit

a b c (Å): 14.8973 14.8973 8.3083
angles (deg): 90.00 90.00 120.00
Space group R32 (No. 155, hexagonal axes)
Symmetry-distinct sites (fractional):
Ba 0.0000 0.0000 0.0000 (multiplicity 3)
Ta 0.0000 0.5600 0.0000 (multiplicity 9)
Pd 0.0000 0.0000 0.5000 (multiplicity 3)
Pd 0.0000 0.4439 0.5000 (multiplicity 9)
Se 0.0000 0.6049 0.5000 (multiplicity 9)
Se 0.0000 0.8357 0.5000 (multiplicity 9)
Se 0.0661 0.4831 0.7975 (multiplicity 18)



No. 6
Below is a relaxed BaTb2PdSe4 crystal, with properties calculated at the GGA-PBE level.

raw formation energy	-1.7108	eV per atom
magnetization	0.0	μB per formula unit

a b c (Å): 4.197 14.050 14.451
angles (deg): 90.00 90.00 90.00
Space group Cmcm (No. 63)
Symmetry-distinct sites (fractional):
Ba 0.000 0.120 0.250 (multiplicity 4)
Tb 0.000 0.368 0.073 (multiplicity 8)
Pd 0.000 0.155 0.750 (multiplicity 4)
Se 0.000 0.000 0.000 (multiplicity 4)
Se 0.000 0.269 0.608 (multiplicity 8)
Se 0.000 0.451 0.250 (multiplicity 4)



No. 7
Below is a relaxed BaThPdSe3 crystal, with properties calculated at the GGA-PBE level.

raw formation energy	-1.5650	eV per atom
magnetization	0.0	μB per formula unit

a b c (Å): 8.844 4.264 9.627
angles (deg): 90.00 106.85 90.00
Space group P2_1/m (No. 11)
Symmetry-distinct sites (fractional):
Ba 0.200 0.250 0.257 (multiplicity 2)
Th 0.307 0.750 0.821 (multiplicity 2)
Pd 0.097 0.250 0.608 (multiplicity 2)
Se 0.100 0.250 0.876 (multiplicity 2)
Se 0.232 0.750 0.516 (multiplicity 2)
Se 0.444 0.750 0.152 (multiplicity 2)



No. 8
Below is a relaxed Ba2UPdSe6 crystal, with properties calculated at the GGA-PBE level.

raw formation energy	-1.2254	eV per atom
magnetization	2.0	μB per formula unit

a b c (Å): 7.264 7.498 12.683
angles (deg): 90.00 124.28 90.00
Space group P2_1/c (No. 14)
Symmetry-distinct sites (fractional):
Ba 0.228 0.066 0.247 (multiplicity 4)
U 0.500 0.000 0.000 (multiplicity 2)
Pd 0.000 0.000 0.500 (multiplicity 2)
Se 0.164 0.207 0.965 (multiplicity 4)
Se 0.262 0.699 0.967 (multiplicity 4)
Se 0.314 0.503 0.246 (multiplicity 4)